# SbSe2BrCl

Crystalline SbSe2BrCl at its relaxed geometry (GGA-PBE, Alexandria).

Summary:
DFT total energy, eV/atom: -2.5619
Energy above the lowest structure with this stoichiometry, eV per atom: 0.000

a b c (Å): 5.462 5.462 5.459
angles (deg): 90.00 90.00 90.00
Space group P4/mmm (No. 123)
Inequivalent atoms, fractional coordinates:
1 Sb 0.000 0.000 0.000
2 Se 0.000 0.500 0.000
3 Br 0.000 0.000 0.500
4 Cl 0.500 0.500 0.500

***

# Sr2Ag5Sb3

Crystalline Sr2Ag5Sb3 at its relaxed geometry (GGA-PBE, Alexandria).

Summary:
DFT total energy, eV/atom: -3.2098

a b c (Å): 4.530 4.530 13.111
angles (deg): 90.00 90.00 90.00
Space group P-4m2 (No. 115)
Inequivalent atoms, fractional coordinates:
1 Sr 0.000 0.500 0.223
2 Ag 0.000 0.000 0.000
3 Ag 0.000 0.000 0.500
4 Ag 0.000 0.500 0.874
5 Ag 0.500 0.500 0.000
6 Sb 0.000 0.500 0.662
7 Sb 0.500 0.500 0.500

***

# PmPr2Si4

Crystalline PmPr2Si4 at its relaxed geometry (GGA-PBE, Alexandria).

Summary:
DFT total energy, eV/atom: -5.8537

a b c (Å): 3.967 4.446 18.022
angles (deg): 90.00 90.00 90.00
Space group Immm (No. 71)
Inequivalent atoms, fractional coordinates:
1 Pm 0.000 0.000 0.000
2 Pr 0.000 0.500 0.318
3 Si 0.000 0.000 0.435
4 Si 0.000 0.500 0.144